HfFeNiAs: optimized geometry, PBE.

calculated total energy: -7.36 eV per atom

a b c (Å): 6.073 6.073 6.073
angles (deg): 90.00 90.00 90.00
Space group F-43m (No. 216)
Symmetry-distinct sites (fractional):
Hf 0.000 0.000 0.000
Fe 0.250 0.250 0.750
Ni 0.250 0.250 0.250
As 0.000 0.000 0.500